Entry 1:
The following is a DFT calculation (GGA-PBE) of a relaxed ScCoOs2 crystal.

```
ScCoOs2
1.0
2.8223 0.0000 0.0000
0.0000 4.2205 0.0000
-1.3970 0.0000 4.9343
Sc Co Os
1 1 2
Cartesian
0.0000 0.0000 0.0000 Sc
1.4060 2.1102 0.9008 Co
-0.0010 2.1102 3.1710 Os
1.3993 0.0000 2.3405 Os
```

Values from the calculation:
The crystal system is monoclinic. As for the formation energy: -0.05 eV/atom.

Entry 2:
The following is a DFT calculation (GGA-PBE) of a relaxed Sc2Tl3NiSe6 crystal.

```
Sc2Tl3NiSe6
1.0
3.3942 -5.8578 0.0000
3.3942 5.8578 0.0000
-2.2816 0.0000 7.5810
Sc Tl Ni Se
2 3 1 6
Cartesian
3.3942 3.9227 0.0000 Sc
3.3942 -3.9227 0.0000 Sc
-1.1408 0.0000 3.7905 Tl
2.2534 2.0890 3.7905 Tl
2.2534 -2.0890 3.7905 Tl
3.3942 0.0000 0.0000 Ni
0.0725 1.8219 6.1915 Se
1.2370 0.0000 1.5092 Se
0.0725 -1.8219 6.1915 Se
4.4343 1.8219 1.3895 Se
3.2698 0.0000 6.0719 Se
4.4343 -1.8219 1.3895 Se
```

Values from the calculation:
The crystal system is monoclinic. As for the formation energy without anion corrections: -0.853 eV/atom.

Repeat the first record exactly.
The following is a DFT calculation (GGA-PBE) of a relaxed ScCoOs2 crystal.

```
ScCoOs2
1.0
2.8223 0.0000 0.0000
0.0000 4.2205 0.0000
-1.3970 0.0000 4.9343
Sc Co Os
1 1 2
Cartesian
0.0000 0.0000 0.0000 Sc
1.4060 2.1102 0.9008 Co
-0.0010 2.1102 3.1710 Os
1.3993 0.0000 2.3405 Os
```

Values from the calculation:
The crystal system is monoclinic. As for the formation energy: -0.05 eV/atom.